{"formula": "YTl2BrCl", "functional": "GGA-PBE", "state": "optimized geometry", "energy_ev_per_fu": -15.19, "raw_formation_energy_mev_per_atom": -94, "n_ef_per_ev_cell": 4.672, "spacegroup": "No. 123", "cell": [[6.142, 0.000, 0.000], [0.000, 6.142, 0.000], [0.000, 0.000, 5.372]], "species": ["Y", "Tl", "Tl", "Br", "Cl"], "frac_coords": [[0.000, 0.000, 0.000], [0.000, 0.500, 0.500], [0.500, 0.000, 0.500], [0.000, 0.000, 0.500], [0.500, 0.500, 0.000]]}

---

{"formula": "TlZnBrCl2", "functional": "GGA-PBE", "state": "optimized geometry", "energy_ev_per_fu": -14.09, "polymorph_energy_mev_per_atom": 0.0, "raw_formation_energy_mev_per_atom": -1018, "n_ef_per_ev_cell": 0.000, "spacegroup": "No. 11", "cell": [[7.489, 0.000, 0.000], [0.000, 5.738, 0.000], [-1.990, 0.000, 7.798]], "species": ["Tl", "Tl", "Zn", "Zn", "Br", "Br", "Cl", "Cl", "Cl", "Cl"], "frac_coords": [[0.202, 0.250, 0.338], [0.798, 0.750, 0.662], [0.419, 0.250, 0.844], [0.581, 0.750, 0.156], [0.094, 0.250, 0.730], [0.906, 0.750, 0.270], [0.413, 0.750, 0.352], [0.450, 0.750, 0.872], [0.550, 0.250, 0.128], [0.587, 0.250, 0.648]]}